1.
# Sb2TePH PBE optimized geometry
data_Sb2TePH
_cell_length_a 5.224
_cell_length_b 5.224
_cell_length_c 5.394
_cell_angle_alpha 90.00
_cell_angle_beta 90.00
_cell_angle_gamma 90.00
_space_group_name_H-M_alt 'P 1'
_space_group_IT_number 1
loop_
_space_group_symop_operation_xyz
'x,y,z'
loop_
_atom_site_label
_atom_site_fract_x
_atom_site_fract_y
_atom_site_fract_z
H1 0.500 0.500 0.500
Te1 0.000 0.000 0.500
Sb1 0.500 0.000 0.000
Sb2 0.000 0.500 0.000
P1 0.000 0.000 0.000
# **Crystal system**: tetragonal
# **Space group**: P4/mmm
# **Final energy**: -3.03 eV per atom

2.
# Rb3LiPu2O9 PBE optimized geometry
data_Rb3LiPu2O9
_cell_length_a 6.088
_cell_length_b 6.088
_cell_length_c 7.507
_cell_angle_alpha 90.00
_cell_angle_beta 90.00
_cell_angle_gamma 120.00
_space_group_name_H-M_alt 'P 1'
_space_group_IT_number 1
loop_
_space_group_symop_operation_xyz
'x,y,z'
loop_
_atom_site_label
_atom_site_fract_x
_atom_site_fract_y
_atom_site_fract_z
O1 0.500 0.000 0.000
O2 0.182 0.365 0.311
O3 0.365 0.182 0.689
O4 0.000 0.500 0.000
O5 0.635 0.818 0.311
O6 0.500 0.500 0.000
O7 0.818 0.635 0.689
O8 0.818 0.182 0.689
O9 0.182 0.818 0.311
Rb1 0.667 0.333 0.349
Rb2 0.000 0.000 0.000
Rb3 0.333 0.667 0.651
Pu1 0.667 0.333 0.838
Pu2 0.333 0.667 0.162
Li1 0.000 0.000 0.500
# **Crystal system**: trigonal
# **Space group**: P-3m1
# **Final energy**: -7.36 eV per atom
# **ΔE_f (raw)**: -2.157 eV/atom

3.
# BS5Br PBE optimized geometry
data_BS5Br
_cell_length_a 5.621
_cell_length_b 4.454
_cell_length_c 10.463
_cell_angle_alpha 92.91
_cell_angle_beta 98.06
_cell_angle_gamma 127.10
_space_group_name_H-M_alt 'P 1'
_space_group_IT_number 1
loop_
_space_group_symop_operation_xyz
'x,y,z'
loop_
_atom_site_label
_atom_site_fract_x
_atom_site_fract_y
_atom_site_fract_z
B1 0.825 0.325 0.650
S1 0.892 0.098 0.103
S2 0.211 0.005 0.103
S3 0.487 0.148 0.716
S4 0.114 0.614 0.227
S5 0.229 0.568 0.716
Br1 0.773 0.773 0.546
# **Crystal system**: monoclinic
# **Space group**: C2
# **Final energy**: -4.04 eV per atom
# **ΔE_f (raw)**: 0.106 eV/atom

4.
# Tm6Zn2Pb PBE optimized geometry
data_Tm6Zn2Pb
_cell_length_a 8.562
_cell_length_b 8.562
_cell_length_c 8.562
_cell_angle_alpha 102.45
_cell_angle_beta 112.11
_cell_angle_gamma 114.08
_space_group_name_H-M_alt 'P 1'
_space_group_IT_number 1
loop_
_space_group_symop_operation_xyz
'x,y,z'
loop_
_atom_site_label
_atom_site_fract_x
_atom_site_fract_y
_atom_site_fract_z
Tm1 0.797 0.767 0.564
Tm2 0.203 0.233 0.436
Tm3 0.695 0.013 0.318
Tm4 0.479 0.287 0.191
Tm5 0.096 0.287 0.809
Tm6 0.521 0.713 0.809
Tm7 0.904 0.713 0.191
Tm8 0.305 0.622 0.318
Tm9 0.695 0.378 0.682
Tm10 0.797 0.233 0.029
Tm11 0.203 0.767 0.971
Tm12 0.305 0.987 0.682
Zn1 0.500 0.383 0.883
Zn2 0.500 0.617 0.117
Zn3 0.354 0.000 0.354
Zn4 0.646 0.000 0.646
Pb1 0.000 0.500 0.500
Pb2 0.000 0.000 0.000
# **Crystal system**: orthorhombic
# **Space group**: Immm
# **Final energy**: -3.94 eV per atom
# **ΔE_f**: -25.0 kJ per mole of atoms

5.
# Si4HgRh PBE optimized geometry
data_Si4HgRh
_cell_length_a 5.160
_cell_length_b 5.160
_cell_length_c 5.160
_cell_angle_alpha 60.00
_cell_angle_beta 60.00
_cell_angle_gamma 60.00
_space_group_name_H-M_alt 'P 1'
_space_group_IT_number 1
loop_
_space_group_symop_operation_xyz
'x,y,z'
loop_
_atom_site_label
_atom_site_fract_x
_atom_site_fract_y
_atom_site_fract_z
Si1 0.374 0.374 0.374
Si2 0.877 0.374 0.374
Si3 0.374 0.374 0.877
Si4 0.374 0.877 0.374
Hg1 0.750 0.750 0.750
Rh1 0.000 0.000 0.000
# **Crystal system**: cubic
# **Space group**: F-43m
# **Final energy**: -4.38 eV per atom
# **ΔE_f (raw)**: 0.509 eV/atom

6.
# SrPrEuLu PBE optimized geometry
data_SrPrEuLu
_cell_length_a 6.019
_cell_length_b 6.019
_cell_length_c 6.019
_cell_angle_alpha 60.00
_cell_angle_beta 60.00
_cell_angle_gamma 60.00
_space_group_name_H-M_alt 'P 1'
_space_group_IT_number 1
loop_
_space_group_symop_operation_xyz
'x,y,z'
loop_
_atom_site_label
_atom_site_fract_x
_atom_site_fract_y
_atom_site_fract_z
Sr1 0.250 0.250 0.250
Eu1 0.000 0.000 0.000
Pr1 0.500 0.500 0.500
Lu1 0.750 0.750 0.750
# **Crystal system**: cubic
# **Space group**: F-43m
# **Final energy**: -5.12 eV per atom
# **ΔE_f**: 19.0 kJ per mole of atoms

7.
# Pr4ErIn3 PBE optimized geometry
data_Pr4ErIn3
_cell_length_a 3.619
_cell_length_b 10.663
_cell_length_c 17.357
_cell_angle_alpha 156.35
_cell_angle_beta 95.98
_cell_angle_gamma 90.00
_space_group_name_H-M_alt 'P 1'
_space_group_IT_number 1
loop_
_space_group_symop_operation_xyz
'x,y,z'
loop_
_atom_site_label
_atom_site_fract_x
_atom_site_fract_y
_atom_site_fract_z
Pr1 0.625 0.079 0.250
Pr2 0.375 0.921 0.750
Pr3 0.131 0.629 0.261
Pr4 0.869 0.371 0.739
In1 0.000 0.500 0.000
In2 0.739 0.712 0.477
In3 0.261 0.288 0.523
Er1 0.500 0.000 0.000
# **Crystal system**: monoclinic
# **Space group**: C2/m
# **Final energy**: -4.18 eV per atom
# **ΔE_f**: -18.6 kJ per mole of atoms

8.
# CeHoAg3 PBE optimized geometry
data_CeHoAg3
_cell_length_a 3.411
_cell_length_b 4.867
_cell_length_c 14.299
_cell_angle_alpha 90.00
_cell_angle_beta 96.85
_cell_angle_gamma 90.00
_space_group_name_H-M_alt 'P 1'
_space_group_IT_number 1
loop_
_space_group_symop_operation_xyz
'x,y,z'
loop_
_atom_site_label
_atom_site_fract_x
_atom_site_fract_y
_atom_site_fract_z
Ho1 0.789 0.250 0.578
Ho2 0.211 0.750 0.422
Ag1 0.524 0.750 0.049
Ag2 0.623 0.750 0.245
Ag3 0.321 0.750 0.642
Ag4 0.377 0.250 0.755
Ag5 0.679 0.250 0.358
Ag6 0.476 0.250 0.951
Ce1 0.924 0.750 0.849
Ce2 0.076 0.250 0.151
# **Crystal system**: orthorhombic
# **Space group**: Cmcm
# **Final energy**: -4.01 eV per atom
# **ΔE_f**: -18.6 kJ per mole of atoms